LaZn2F8: relaxed, GGA-PBE.

```
LaZn2F8
1.0
-2.7779 2.7779 5.5443
2.7779 -2.7779 5.5443
2.7779 2.7779 -5.5443
La Zn F
1 2 8
Cartesian
0.0000 0.0000 0.0000 La
2.7779 0.0000 2.7722 Zn
0.0000 2.7779 2.7722 Zn
3.8410 0.9066 -1.4606 F
0.9066 1.7147 -1.4606 F
1.7147 0.9066 1.4606 F
1.8713 -1.0632 7.0050 F
1.8713 1.0632 4.0837 F
-1.0632 1.8713 4.0837 F
0.9066 3.8410 1.4606 F
1.0632 1.8713 7.0050 F
```

Properties
spin magnetization: 0.098 μB per atom
DFT total energy: -4.71 eV per atom
E_form (uncorrected): -2.6742 eV per atom
crystal system: tetragonal